Record 1
Compound: Zr3SeF
Source: Alexandria
Functional: PBE-GGA
Structure: relaxed

Summary:
VASP energy: -0.498 Ry per atom
total magnetic moment: 0.64 μB per cell
space-group type: Pm-3m
D(E_F): 5.88 states/eV per cell
E_form (uncorrected): -0.57 eV per atom

Cell and atoms, written as extended XYZ:
```
5
Lattice="4.516 0.000 0.000 0.000 4.516 0.000 0.000 0.000 4.516" Properties=species:S:1:pos:R:3 pbc="T T T"
Zr 0.000 0.000 2.258
Zr 0.000 2.258 0.000
Zr 2.258 0.000 0.000
F 0.000 0.000 0.000
Se 2.258 2.258 2.258
```


Record 2
Compound: ZrSeF
Source: Alexandria
Functional: PBE-GGA
Structure: relaxed

Summary:
VASP energy: -0.486 Ry per atom
total magnetic moment: 0.00 μB per cell
space-group type: P2_1/m
D(E_F): 0.58 states/eV per cell
E_form (uncorrected): -1.98 eV per atom

Cell and atoms, written as extended XYZ:
```
6
Lattice="4.353 0.000 0.273 0.000 4.359 0.000 -0.746 0.000 6.770" Properties=species:S:1:pos:R:3 pbc="T T T"
F 0.784 3.269 2.336
F 2.823 1.090 4.707
Se 3.001 1.090 1.856
Se 0.606 3.269 5.187
Zr 0.715 1.090 3.452
Zr 2.892 3.269 3.591
```


Record 3
Compound: ZrSe2F
Source: Alexandria
Functional: PBE-GGA
Structure: relaxed

Summary:
VASP energy: -0.402 Ry per atom
total magnetic moment: 0.00 μB per cell
space-group type: Fm-3m
D(E_F): 1.60 states/eV per cell
E_form (uncorrected): -1.12 eV per atom

Cell and atoms, written as extended XYZ:
```
4
Lattice="0.000 3.290 3.290 3.290 0.000 3.290 3.290 3.290 0.000" Properties=species:S:1:pos:R:3 pbc="T T T"
Se 4.935 4.935 4.935
Se 1.645 1.645 1.645
Zr 3.290 3.290 3.290
F 0.000 0.000 0.000
```


Record 4
Compound: ZrSeF2
Source: Alexandria
Functional: PBE-GGA
Structure: relaxed

Summary:
VASP energy: -0.449 Ry per atom
total magnetic moment: 0.00 μB per cell
space-group type: I-42d
D(E_F): 5.87 states/eV per cell
E_form (uncorrected): -2.17 eV per atom

Cell and atoms, written as extended XYZ:
```
8
Lattice="-0.673 -3.686 1.985 3.039 0.952 2.799 -3.787 1.856 6.691" Properties=species:S:1:pos:R:3 pbc="T T T"
Zr -1.639 -1.598 5.534
Zr 0.000 0.000 0.000
F -3.284 -1.788 6.889
F -1.104 -2.358 3.606
F 0.312 -2.450 5.312
F -2.478 0.202 6.329
Se 1.183 -1.367 2.392
Se 0.217 0.721 5.941
```


Record 5
Compound: ZrSeF2
Source: Alexandria
Functional: PBE-GGA
Structure: relaxed

Summary:
VASP energy: -0.427 Ry per atom
total magnetic moment: 0.00 μB per cell
space-group type: R-3m
D(E_F): 1.84 states/eV per cell
E_form (uncorrected): -1.87 eV per atom

Cell and atoms, written as extended XYZ:
```
4
Lattice="1.191 8.944 5.585 1.301 7.042 7.831 3.744 7.667 6.310" Properties=species:S:1:pos:R:3 pbc="T T T"
F 0.742 2.815 2.348
F 5.494 20.838 17.379
Zr 3.118 11.826 9.863
Se 0.000 0.000 0.000
```


Record 6
Compound: ZrSeF3
Source: Alexandria
Functional: PBE-GGA
Structure: relaxed

Summary:
VASP energy: -0.465 Ry per atom
total magnetic moment: 0.00 μB per cell
space-group type: P1
E_form (uncorrected): -2.80 eV per atom

Cell and atoms, written as extended XYZ:
```
10
Lattice="-3.874 0.626 -3.619 -4.160 -2.355 3.486 -0.395 5.277 1.614" Properties=species:S:1:pos:R:3 pbc="T T T"
Zr -4.129 1.969 3.542
Zr -4.699 0.096 -0.226
F -6.124 1.668 -0.554
F -7.911 0.985 1.007
F -3.402 1.493 -0.557
F -6.639 4.049 0.665
F -5.144 3.724 2.732
F -4.758 1.034 1.744
Se -2.738 3.772 1.001
Se -0.973 -0.006 0.604
```


Record 7
Compound: ZrSeF2
Source: Alexandria
Functional: PBE-GGA
Structure: relaxed

Summary:
VASP energy: -0.416 Ry per atom
total magnetic moment: 0.00 μB per cell
space-group type: Fm-3m
D(E_F): 0.04 states/eV per cell
E_form (uncorrected): -1.72 eV per atom

Cell and atoms, written as extended XYZ:
```
4
Lattice="0.000 3.028 3.028 3.028 0.000 3.028 3.028 3.028 0.000" Properties=species:S:1:pos:R:3 pbc="T T T"
Se 0.000 0.000 0.000
Zr 3.028 3.028 3.028
F 4.543 4.543 4.543
F 1.514 1.514 1.514
```


Record 8
Compound: ZrSeF3
Source: Alexandria
Functional: PBE-GGA
Structure: relaxed

Summary:
VASP energy: -0.422 Ry per atom
total magnetic moment: 1.00 μB per cell
space-group type: Pm-3m
D(E_F): 3.48 states/eV per cell
E_form (uncorrected): -2.22 eV per atom

Cell and atoms, written as extended XYZ:
```
5
Lattice="-1.075 3.866 -1.520 -3.221 -1.768 -2.217 -2.623 0.586 3.345" Properties=species:S:1:pos:R:3 pbc="T T T"
Zr 0.000 0.000 0.000
F -0.538 1.933 -0.760
F -1.611 -0.884 -1.108
F -1.312 0.293 1.673
Se -3.460 1.342 -0.196
```